Zr2TcAu PBE relaxed; DOS at the Fermi energy = 6.06 states/eV/cell; total magnetic moment = 0.0000 μB per atom; ΔE_f = -0.255 eV per atom
1.0
3.4805 0.0000 0.0000
0.0000 4.6032 0.0000
0.0000 0.0000 9.5485
Zr Tc Au
4 2 2
direct
0.0000 0.0000 0.0000 Zr
0.0000 0.5000 0.2347 Zr
0.5000 0.0000 0.7347 Zr
0.5000 0.5000 0.5000 Zr
0.0000 0.0000 0.5139 Tc
0.5000 0.5000 0.0139 Tc
0.0000 0.5000 0.7629 Au
0.5000 0.0000 0.2629 Au